Entry 1:
YLuPu2 | GGA-PBE | optimized geometry

Calculated values
N(E_F): 3.50 states/eV/atom
Energy relative to the elements: 171.0 meV/atom
Symmetry: P4/mmm, No. 123
Volume: 115.6 Å³ per cell

Cell and atoms, written as extended XYZ:
```
4
Lattice="-3.1004 -1.2089 -0.6193 1.0954 -3.1379 0.6416 -2.3934 1.1537 9.7294" Properties=species:S:1:pos:R:3 pbc="T T T"
Y -1.0025 -2.1734 0.0111
Lu -2.1992 -1.5965 4.8758
Pu -1.7831 0.8595 7.2484
Pu -0.6103 0.2942 2.4810
```

Entry 2:
LuPuZn4 | GGA-PBE | optimized geometry

Calculated values
N(E_F): 1.54 states/eV/atom
Energy relative to the elements: -216.8 meV/atom
Symmetry: F-43m, No. 216
Volume: 113.0 Å³ per cell

Cell and atoms, written as extended XYZ:
```
6
Lattice="5.4265 0.0000 0.0000 2.7133 4.6995 0.0000 2.7133 1.5665 4.4307" Properties=species:S:1:pos:R:3 pbc="T T T"
Zn 5.4265 3.1330 0.5531
Zn 5.4265 1.5658 2.7695
Zn 6.7837 3.9166 2.7695
Zn 4.0693 3.9166 2.7695
Lu 0.0000 0.0000 0.0000
Pu 2.7133 1.5665 1.1077
```

Entry 3:
LuPuZn2 | GGA-PBE | optimized geometry

Calculated values
N(E_F): 1.32 states/eV/atom
Energy relative to the elements: -181.2 meV/atom
Symmetry: Fm-3m, No. 225
Volume: 87.9 Å³ per cell

Cell and atoms, written as extended XYZ:
```
4
Lattice="-2.1911 -0.8753 4.3978 1.3894 -3.9321 2.7414 2.5463 0.6866 4.2371" Properties=species:S:1:pos:R:3 pbc="T T T"
Zn 0.4361 -1.0302 2.8441
Zn 1.3084 -3.0907 8.5323
Lu 0.8723 -2.0604 5.6882
Pu 0.0000 0.0000 0.0000
```

Entry 4:
LuPuZn2 | GGA-PBE | optimized geometry

Calculated values
N(E_F): 1.67 states/eV/atom
Energy relative to the elements: -185.3 meV/atom
Symmetry: P4/mmm, No. 123
Volume: 87.5 Å³ per cell

Cell and atoms, written as extended XYZ:
```
4
Lattice="-3.0325 -1.3917 -0.9160 1.6487 -2.2324 -2.0664 0.5074 -4.7480 5.5343" Properties=species:S:1:pos:R:3 pbc="T T T"
Zn 0.3892 -3.6418 4.2448
Zn 0.1182 -1.1063 1.2895
Lu -0.6919 -1.8121 -1.4912
Pu -0.4382 -4.1861 1.2759
```

Entry 5:
LuPu2Zn | GGA-PBE | optimized geometry

Calculated values
N(E_F): 3.68 states/eV/atom
Energy relative to the elements: 156.7 meV/atom
Symmetry: R-3m, No. 166
Volume: 102.6 Å³ per cell

Cell and atoms, written as extended XYZ:
```
4
Lattice="3.3355 0.0000 0.0000 1.6677 2.8886 0.0000 1.6677 0.9629 10.6533" Properties=species:S:1:pos:R:3 pbc="T T T"
Zn 0.0000 0.0000 0.0000
Lu 3.3355 1.9257 5.3266
Pu 1.6677 0.9629 2.4426
Pu 5.0032 2.8886 8.2107
```

Entry 6:
LuPu2Zn | GGA-PBE | optimized geometry

Calculated values
N(E_F): 3.46 states/eV/atom
Energy relative to the elements: 87.9 meV/atom
Symmetry: P4/mmm, No. 123
Volume: 101.4 Å³ per cell

Cell and atoms, written as extended XYZ:
```
4
Lattice="-2.1372 2.3623 -0.9171 -2.5340 -1.9928 0.7723 -0.0028 3.3368 8.6010" Properties=species:S:1:pos:R:3 pbc="T T T"
Zn -2.3356 0.1847 -0.0724
Lu -2.3370 1.8531 4.2281
Pu -0.0022 2.6005 6.7033
Pu -0.0006 0.7362 1.8978
```

Which formula does entry 3 have?
LuPuZn2

Please write out number 3 again, unchanged.
LuPuZn2 | GGA-PBE | optimized geometry

Calculated values
N(E_F): 1.32 states/eV/atom
Energy relative to the elements: -181.2 meV/atom
Symmetry: Fm-3m, No. 225
Volume: 87.9 Å³ per cell

Cell and atoms, written as extended XYZ:
```
4
Lattice="-2.1911 -0.8753 4.3978 1.3894 -3.9321 2.7414 2.5463 0.6866 4.2371" Properties=species:S:1:pos:R:3 pbc="T T T"
Zn 0.4361 -1.0302 2.8441
Zn 1.3084 -3.0907 8.5323
Lu 0.8723 -2.0604 5.6882
Pu 0.0000 0.0000 0.0000
```

Please write out number 6 again, unchanged.
LuPu2Zn | GGA-PBE | optimized geometry

Calculated values
N(E_F): 3.46 states/eV/atom
Energy relative to the elements: 87.9 meV/atom
Symmetry: P4/mmm, No. 123
Volume: 101.4 Å³ per cell

Cell and atoms, written as extended XYZ:
```
4
Lattice="-2.1372 2.3623 -0.9171 -2.5340 -1.9928 0.7723 -0.0028 3.3368 8.6010" Properties=species:S:1:pos:R:3 pbc="T T T"
Zn -2.3356 0.1847 -0.0724
Lu -2.3370 1.8531 4.2281
Pu -0.0022 2.6005 6.7033
Pu -0.0006 0.7362 1.8978
```

What did the third record say?
LuPuZn2 | GGA-PBE | optimized geometry

Calculated values
N(E_F): 1.32 states/eV/atom
Energy relative to the elements: -181.2 meV/atom
Symmetry: Fm-3m, No. 225
Volume: 87.9 Å³ per cell

Cell and atoms, written as extended XYZ:
```
4
Lattice="-2.1911 -0.8753 4.3978 1.3894 -3.9321 2.7414 2.5463 0.6866 4.2371" Properties=species:S:1:pos:R:3 pbc="T T T"
Zn 0.4361 -1.0302 2.8441
Zn 1.3084 -3.0907 8.5323
Lu 0.8723 -2.0604 5.6882
Pu 0.0000 0.0000 0.0000
```